(1)
{
  "formula": "CeHg2Pt",
  "functional": "PBE",
  "state": "optimized geometry",
  "magmom_total_mub_per_cell": 0.67,
  "e_form_ev_per_atom": -0.3766,
  "space_group": "Fm-3m (225)",
  "vol_a3_per_fu": 89,
  "lattice_angstrom": [[-1.168, 3.626, -3.255], [1.011, -0.586, -4.872], [-3.735, -0.677, -3.270]],
  "species": ["Ce", "Hg", "Hg", "Pt"],
  "fractional_positions": [[0.000, 0.000, 0.000], [0.750, 0.750, 0.750], [0.250, 0.250, 0.250], [0.500, 0.500, 0.500]]
}

(2)
{
  "formula": "Ce2HgPt9",
  "functional": "PBE",
  "state": "optimized geometry",
  "de_polymorph_mev_per_atom": 70.2,
  "magmom_total_mub_per_cell": 1.08,
  "e_form_ev_per_atom": -0.5947,
  "space_group": "R-3m (166)",
  "vol_a3_per_fu": 228,
  "lattice_angstrom": [[-1.129, -1.465, -5.104], [-4.089, -3.429, -0.998], [-7.347, 5.272, -2.775]],
  "species": ["Pt", "Pt", "Ce", "Pt", "Pt", "Pt", "Hg", "Pt", "Pt", "Pt", "Pt", "Ce"],
  "fractional_positions": [[0.412, 0.412, 0.256], [0.588, 0.081, 0.744], [0.136, 0.136, 0.593], [0.668, 0.668, 0.996], [0.081, 0.588, 0.744], [0.412, 0.919, 0.256], [0.000, 0.000, 0.000], [0.332, 0.332, 0.004], [0.919, 0.412, 0.256], [0.500, 0.500, 0.500], [0.588, 0.588, 0.744], [0.864, 0.864, 0.407]]
}

(3)
{
  "formula": "CeHg2Pt",
  "functional": "PBE",
  "state": "optimized geometry",
  "magmom_total_mub_per_cell": 1.42,
  "e_form_ev_per_atom": -0.5143,
  "space_group": "I4/mmm (139)",
  "vol_a3_per_fu": 96,
  "lattice_angstrom": [[4.859, 0.000, 0.000], [0.000, 4.859, 0.000], [-2.429, -2.429, 8.135]],
  "species": ["Hg", "Hg", "Pt", "Hg", "Pt", "Ce", "Ce", "Hg"],
  "fractional_positions": [[0.363, 0.363, 0.726], [0.000, 0.500, 0.000], [0.250, 0.750, 0.500], [0.637, 0.637, 0.274], [0.750, 0.250, 0.500], [0.152, 0.152, 0.303], [0.848, 0.848, 0.697], [0.500, 0.000, 0.000]]
}

(4)
{
  "formula": "Ce2HgPt",
  "functional": "PBE",
  "state": "optimized geometry",
  "de_polymorph_mev_per_atom": 50.3,
  "magmom_total_mub_per_cell": 1.93,
  "e_form_ev_per_atom": -0.6050,
  "space_group": "R3m (160)",
  "vol_a3_per_fu": 116,
  "lattice_angstrom": [[4.154, 0.000, 0.000], [2.077, 3.598, 0.000], [2.077, 1.199, 7.735]],
  "species": ["Pt", "Ce", "Ce", "Hg"],
  "fractional_positions": [[0.667, 0.667, 0.000], [0.264, 0.264, 0.207], [0.069, 0.069, 0.792], [0.499, 0.499, 0.502]]
}

(5)
{
  "formula": "CePu2HgPt2",
  "functional": "PBE",
  "state": "optimized geometry",
  "magmom_total_mub_per_cell": 12.03,
  "e_form_ev_per_atom": -0.6102,
  "space_group": "P-3m1 (164)",
  "vol_a3_per_fu": 137,
  "lattice_angstrom": [[5.030, 0.000, 0.000], [-2.515, 4.356, 0.000], [0.000, 0.000, 6.244]],
  "species": ["Ce", "Pt", "Pt", "Hg", "Pu", "Pu"],
  "fractional_positions": [[0.000, 0.000, 0.000], [0.667, 0.333, 0.754], [0.333, 0.667, 0.246], [0.000, 0.000, 0.500], [0.333, 0.667, 0.750], [0.667, 0.333, 0.250]]
}

(6)
{
  "formula": "CeScHgPt",
  "functional": "PBE",
  "state": "optimized geometry",
  "magmom_total_mub_per_cell": 1.01,
  "e_form_ev_per_atom": -0.6234,
  "space_group": "F-43m (216)",
  "vol_a3_per_fu": 91,
  "lattice_angstrom": [[5.046, 0.000, 0.000], [2.523, 4.370, 0.000], [2.523, 1.457, 4.120]],
  "species": ["Pt", "Ce", "Hg", "Sc"],
  "fractional_positions": [[0.750, 0.750, 0.750], [0.000, 0.000, 0.000], [0.250, 0.250, 0.250], [0.500, 0.500, 0.500]]
}

(7)
{
  "formula": "CeThHgPt",
  "functional": "PBE",
  "state": "optimized geometry",
  "magmom_total_mub_per_cell": 0.96,
  "e_form_ev_per_atom": -0.5556,
  "space_group": "F-43m (216)",
  "vol_a3_per_fu": 101,
  "lattice_angstrom": [[5.236, 0.000, 0.000], [2.618, 4.534, 0.000], [2.618, 1.511, 4.275]],
  "species": ["Pt", "Th", "Hg", "Ce"],
  "fractional_positions": [[0.750, 0.750, 0.750], [0.000, 0.000, 0.000], [0.250, 0.250, 0.250], [0.500, 0.500, 0.500]]
}

(8)
{
  "formula": "CeZnHgPt",
  "functional": "PBE",
  "state": "optimized geometry",
  "magmom_total_mub_per_cell": 0.00,
  "e_form_ev_per_atom": -0.4740,
  "space_group": "F-43m (216)",
  "vol_a3_per_fu": 83,
  "lattice_angstrom": [[-2.632, -3.930, 1.237], [0.038, -3.966, -2.858], [2.248, -4.073, 1.501]],
  "species": ["Pt", "Hg", "Ce", "Zn"],
  "fractional_positions": [[0.750, 0.750, 0.750], [0.500, 0.500, 0.500], [0.000, 0.000, 0.000], [0.250, 0.250, 0.250]]
}

- Which formula does entry 2 have?
  Ce2HgPt9